# 1
Density functional theory data (PBE) for a relaxed Nd4TlZn3 crystal.

Geometry as POSCAR:
```
Nd4TlZn3
1.0
-1.694 -2.462 -4.348
1.564 -4.936 -1.016
-6.923 -5.557 2.642
Tl Nd Zn
1 4 3
Cartesian
0.000 0.000 0.000
-2.824 -8.608 -3.630
-5.998 -7.588 0.230
-4.229 -4.347 0.908
-1.055 -5.367 -2.953
-1.760 -3.237 -0.682
-5.293 -9.717 -2.040
-3.527 -6.477 -1.361
```

formation energy from the elements: -0.32 eV/atom
energy: -27.78 eV for the cell shown

# 2
Density functional theory data (PBE) for a relaxed Ca2CoAs crystal.

Geometry as POSCAR:
```
Ca2CoAs
1.0
-0.536 7.704 1.272
-4.254 6.568 0.134
-3.051 6.020 3.964
As Co Ca
1 1 2
Cartesian
-6.210 16.071 4.252
-3.592 9.295 2.459
-0.305 0.789 0.209
-1.656 4.284 1.134
```

formation energy from the elements: -0.52 eV/atom
energy: -17.84 eV for the cell shown

# 3
Density functional theory data (PBE) for a relaxed BaLi2ZnIr crystal.

Geometry as POSCAR:
```
BaLi2ZnIr
1.0
-0.804 -0.472 4.793
1.146 -4.739 -0.274
4.754 1.098 0.905
Zn Ir Ba Li
1 1 1 2
Cartesian
2.377 0.549 0.452
0.000 0.000 0.000
2.548 -2.056 2.712
0.573 -2.369 -0.137
-0.402 -0.236 2.397
```

formation energy from the elements: -0.06 eV/atom
energy: -16.16 eV for the cell shown

# 4
Density functional theory data (PBE) for a relaxed KMnCdC2 crystal.

Geometry as POSCAR:
```
KMnCdC2
1.0
-2.380 2.640 -1.696
0.662 -2.259 -4.446
-3.094 -2.326 0.721
K Mn C Cd
1 1 2 1
Cartesian
-2.406 -0.973 -2.710
0.000 0.000 0.000
-1.547 -1.163 0.361
-1.190 1.320 -0.848
0.331 -1.129 -2.223
```

formation energy from the elements: 1.16 eV/atom
energy: -23.81 eV for the cell shown

# 5
Density functional theory data (PBE) for a relaxed MnTe2Au crystal.

Geometry as POSCAR:
```
MnTe2Au
1.0
-0.221 -2.137 -6.923
3.683 -2.545 -5.700
0.912 -5.421 -4.724
Au Mn Te
1 1 2
Cartesian
2.140 -4.944 -8.488
3.321 -7.673 -13.174
0.124 -0.287 -0.492
0.975 -2.252 -3.867
```

E_form (uncorrected): -41 meV per atom
energy: -18.89 eV for the cell shown

# 6
Density functional theory data (PBE) for a relaxed Sm8CoRu2 crystal.

Geometry as POSCAR:
```
Sm8CoRu2
1.0
-3.037 -5.297 -1.231
4.096 -1.964 6.098
-5.743 4.730 1.567
Sm Co Ru
8 1 2
Cartesian
-0.851 -3.396 1.559
-3.451 -1.628 0.362
-1.126 0.028 2.487
-6.769 -1.881 1.247
-0.900 -5.874 3.950
-3.481 -2.412 3.996
-1.150 -0.652 6.193
-3.711 1.091 5.014
-0.508 -0.880 -0.198
-0.417 -2.396 4.154
-4.150 0.143 2.435
```

formation energy from the elements: -0.07 eV/atom
energy: -64.22 eV for the cell shown

# 7
Density functional theory data (PBE) for a relaxed Pm3Sn5S12 crystal.

Geometry as POSCAR:
```
Pm3Sn5S12
1.0
13.945 0.000 0.000
-4.648 13.147 0.000
-4.648 -6.574 11.386
Pm Sn S
12 20 48
Cartesian
8.135 4.109 1.423
8.135 9.039 1.423
-1.162 5.752 7.116
1.162 -0.822 4.270
10.459 0.000 2.846
1.162 6.574 2.846
3.486 0.000 8.539
-5.810 6.574 8.539
3.486 7.395 7.116
5.810 0.822 4.270
-3.486 -2.465 9.963
-3.486 2.465 9.963
-1.162 3.287 2.846
-2.324 6.574 0.000
0.000 0.000 0.000
3.486 2.465 1.423
4.648 -3.287 5.693
4.648 6.574 0.000
-3.486 7.395 4.270
5.810 -4.109 9.963
5.810 5.752 4.270
1.162 -3.287 8.539
3.486 9.861 2.846
2.324 3.287 5.693
6.972 0.000 0.000
-2.324 -3.287 5.693
-1.162 0.822 7.116
-1.162 10.682 1.423
-4.648 3.287 5.693
8.135 -0.822 7.116
1.162 4.109 9.963
5.810 3.287 8.539
9.254 1.490 0.512
0.043 4.475 4.659
10.341 2.973 3.144
5.928 2.050 1.546
1.680 5.054 7.729
9.740 6.592 2.036
-1.044 7.496 4.690
-3.604 11.097 1.546
0.644 8.093 7.729
6.529 6.556 2.036
7.015 3.588 4.147
7.015 11.658 0.512
-4.004 5.934 6.205
2.767 4.801 1.003
-4.691 9.560 4.147
2.367 -2.098 6.727
-0.644 0.880 2.549
2.767 8.328 1.034
5.928 10.174 3.144
-0.443 4.819 1.034
-2.968 7.454 8.837
3.368 5.651 4.690
6.329 7.213 6.205
5.091 -1.773 10.383
1.280 0.923 6.696
-1.680 -0.640 5.181
-0.443 8.346 1.003
-1.280 -3.601 8.242
7.616 -0.880 2.549
5.091 1.755 10.352
1.881 -1.755 10.352
2.281 8.672 4.659
5.292 5.694 8.837
9.339 -2.986 7.239
8.653 0.640 5.181
-2.367 -5.084 10.873
1.881 1.773 10.383
4.004 -1.519 3.657
-1.881 0.018 9.350
-2.367 2.986 7.239
8.252 -4.523 9.840
5.692 -0.923 6.696
-1.280 4.523 9.840
-5.091 -0.018 9.350
2.968 1.519 3.657
-5.692 3.601 8.242
4.605 2.098 6.727
-4.605 5.084 10.873
```

E_form (uncorrected): -929 meV per atom
energy: -409.50 eV for the cell shown

Number 1: DOS at the Fermi energy 9.62 states/eV/f.u.. Number 2: DOS at the Fermi energy 3.46 states/eV/f.u.. Number 3: DOS at the Fermi energy 2.98 states/eV/f.u.. Number 4: DOS at the Fermi energy 1.27 states/eV/f.u.. Number 5: DOS at the Fermi energy 2.01 states/eV/f.u.. Number 6: DOS at the Fermi energy 12.47 states/eV/f.u.. Number 7: DOS at the Fermi energy 4.50 states/eV/f.u..